The following is a DFT calculation (PBE-GGA) of an optimized crystal structure of Ca2TaAu.

Cell and atoms, written as CIF:
```
data_Ca2TaAu
_chemical_formula_sum 'Ca8 Ta4 Au4'
_symmetry_space_group_name_H-M 'F m -3 m'
_symmetry_Int_Tables_number 225
_symmetry_space_group_name_Hall '-F 4 2 3'
_cell_length_a 7.351
_cell_length_b 7.351
_cell_length_c 7.351
_cell_angle_alpha 90.00
_cell_angle_beta 90.00
_cell_angle_gamma 90.00
loop_
_atom_site_label
_atom_site_type_symbol
_atom_site_fract_x
_atom_site_fract_y
_atom_site_fract_z
Ca1 Ca 0.250 0.250 0.250
Ta1 Ta 0.000 0.000 0.000
Au1 Au 0.000 0.000 0.500
```

total magnetic moment	12.48	μB/cell
formation enthalpy at 0 K	477	meV/atom
total energy	-68.9	eV per cell